No. 1
# LiAcSc2 (PBE, relaxed)
# size of the total moment: 1.20 μB/cell
# distance to the lowest polymorph of the same formula: 12.9 kJ/mol of atoms
# crystal system: tetragonal
# DOS at the Fermi energy: 5.9 states/eV/f.u.
# ΔE_f: 0.311 eV per atom
data_LiAcSc2
_chemical_formula_sum 'Li1 Ac1 Sc2'
_space_group_name_H-M_alt 'P 1'
_space_group_IT_number 1
_cell_length_a 5.5087
_cell_length_b 5.5087
_cell_length_c 3.7371
_cell_angle_alpha 90.00
_cell_angle_beta 90.00
_cell_angle_gamma 90.00
loop_
_space_group_symop_operation_xyz
'x,y,z'
loop_
_atom_site_label
_atom_site_fract_x
_atom_site_fract_y
_atom_site_fract_z
_atom_site_occupancy
Li1 0.0000 0.0000 0.0000 1
Ac1 0.5000 0.5000 0.0000 1
Sc1 0.0000 0.5000 0.5000 1
Sc2 0.5000 0.0000 0.5000 1

=====

No. 2
# LiAcSc2 (PBE, relaxed)
# size of the total moment: 0.00 μB/cell
# distance to the lowest polymorph of the same formula: 0.0 kJ/mol of atoms
# crystal system: tetragonal
# DOS at the Fermi energy: 5.9 states/eV/f.u.
# ΔE_f: 0.178 eV per atom
data_LiAcSc2
_chemical_formula_sum 'Li1 Ac1 Sc2'
_space_group_name_H-M_alt 'P 1'
_space_group_IT_number 1
_cell_length_a 3.7032
_cell_length_b 3.7032
_cell_length_c 7.9435
_cell_angle_alpha 90.00
_cell_angle_beta 90.00
_cell_angle_gamma 90.00
loop_
_space_group_symop_operation_xyz
'x,y,z'
loop_
_atom_site_label
_atom_site_fract_x
_atom_site_fract_y
_atom_site_fract_z
_atom_site_occupancy
Li1 0.0000 0.0000 0.0000 1
Ac1 0.0000 0.0000 0.5000 1
Sc1 0.5000 0.5000 0.2012 1
Sc2 0.5000 0.5000 0.7988 1

=====

No. 3
# LiAcSc (PBE, relaxed)
# size of the total moment: 0.48 μB/cell
# distance to the lowest polymorph of the same formula: 9.7 kJ/mol of atoms
# crystal system: trigonal
# DOS at the Fermi energy: 3.4 states/eV/f.u.
# ΔE_f: 0.237 eV per atom
data_LiAcSc
_chemical_formula_sum 'Li1 Ac1 Sc1'
_space_group_name_H-M_alt 'P 1'
_space_group_IT_number 1
_cell_length_a 3.6226
_cell_length_b 3.6226
_cell_length_c 8.2092
_cell_angle_alpha 90.00
_cell_angle_beta 90.00
_cell_angle_gamma 120.00
loop_
_space_group_symop_operation_xyz
'x,y,z'
loop_
_atom_site_label
_atom_site_fract_x
_atom_site_fract_y
_atom_site_fract_z
_atom_site_occupancy
Li1 0.0000 0.0000 0.0000 1
Ac1 0.3333 0.6667 0.6424 1
Sc1 0.6667 0.3333 0.3003 1

=====

No. 4
# LiAc2Sc (PBE, relaxed)
# size of the total moment: 0.00 μB/cell
# distance to the lowest polymorph of the same formula: 16.7 kJ/mol of atoms
# crystal system: trigonal
# DOS at the Fermi energy: 5.0 states/eV/f.u.
# ΔE_f: 0.263 eV per atom
data_LiAc2Sc
_chemical_formula_sum 'Li3 Ac6 Sc3'
_space_group_name_H-M_alt 'P 1'
_space_group_IT_number 1
_cell_length_a 3.7171
_cell_length_b 3.7171
_cell_length_c 37.5596
_cell_angle_alpha 90.00
_cell_angle_beta 90.00
_cell_angle_gamma 120.00
loop_
_space_group_symop_operation_xyz
'x,y,z'
loop_
_atom_site_label
_atom_site_fract_x
_atom_site_fract_y
_atom_site_fract_z
_atom_site_occupancy
Li1 0.0000 0.0000 0.0000 1
Li2 0.3333 0.6667 0.6667 1
Li3 0.6667 0.3333 0.3333 1
Ac1 0.0000 0.0000 0.0921 1
Ac2 0.0000 0.0000 0.9079 1
Ac3 0.3333 0.6667 0.5745 1
Ac4 0.3333 0.6667 0.7588 1
Ac5 0.6667 0.3333 0.2412 1
Ac6 0.6667 0.3333 0.4255 1
Sc1 0.0000 0.0000 0.5000 1
Sc2 0.3333 0.6667 0.1667 1
Sc3 0.6667 0.3333 0.8333 1